1.
Entry from the Alexandria database: an optimized crystal structure of LiSi2Sb (GGA-PBEsol).

```
LiSi2Sb
1.0
-0.558 -2.996 0.650
2.347 -0.940 -3.715
4.365 -0.204 2.810
Si Sb Li
2 1 1
Direct
0.702 0.774 0.000
0.298 0.226 0.000
0.500 0.500 0.500
0.000 0.000 0.500
```

Calculated values
Crystal system   monoclinic
Theoretical density   4.2 g/cm³
Raw formation energy   0.1480 eV/atom

2.
Entry from the Alexandria database: an optimized crystal structure of RbNbP2 (GGA-PBEsol).

```
RbNbP2
1.0
7.052 0.000 0.000
-3.526 6.274 0.024
0.000 3.941 5.848
P Nb Rb
4 2 2
Direct
0.997 0.750 0.875
0.375 0.250 0.997
0.753 0.750 0.375
0.875 0.250 0.753
0.000 0.000 0.000
0.750 0.500 0.750
0.500 0.000 0.500
0.250 0.500 0.250
```

Calculated values
DFT formation energy   -0.201 eV/atom
Crystal system   tetragonal
Theoretical density   3.1 g/cm³

3.
Entry from the Alexandria database: an optimized crystal structure of LiTa2Cl (GGA-PBEsol).

```
LiTa2Cl
1.0
2.894 0.000 0.000
0.000 3.469 0.000
-1.447 -1.735 6.904
Li Cl Ta
1 1 2
Direct
0.500 0.000 0.000
0.000 0.500 0.000
0.309 0.309 0.617
0.691 0.691 0.383
```

Calculated values
Crystal system   orthorhombic
Theoretical density   9.7 g/cm³
Raw formation energy   0.0629 eV/atom